No. 1
SnTeN3 | GGA-PBE | optimized geometry

Crystal system ... cubic
Symmetry ... Pm-3m, No. 221
Formation energy without anion corrections ... 1.652 eV per atom

Unit cell a=4.124 b=4.124 c=4.124 alpha=90.00 beta=90.00 gamma=90.00
Element x y z (fractional)
Te1 0.500 0.500 0.500
Sn1 0.000 0.000 0.000
N1 0.000 0.500 0.000
N2 0.000 0.000 0.500
N3 0.500 0.000 0.000

No. 2
SnTeN2 | GGA-PBE | optimized geometry

Crystal system ... triclinic
Symmetry ... P1, No. 1
Energy above the most stable polymorph in this dataset ... 0 meV/atom
Formation energy without anion corrections ... 0.000 eV per atom

Unit cell a=5.524 b=3.893 c=11.535 alpha=65.53 beta=58.65 gamma=45.05
Element x y z (fractional)
Sn1 0.830 0.928 0.114
Te1 0.193 0.889 0.256
N1 0.954 0.161 0.648
N2 0.723 0.449 0.721